A relaxed Tm8PC3Se3 crystal, computed with GGA-PBE.

Structure (extended XYZ):
```
15
Lattice="7.4817 -0.0007 -0.0006 -3.7415 6.4804 -0.0238 -0.0001 -4.2992 6.4093" Properties=species:S:1:pos:R:3 pbc="T T T"
Tm -0.0004 2.1661 1.8949
Tm 3.7405 0.0145 4.4899
Tm 3.7404 2.0108 1.8230
Tm -0.0003 0.1697 4.5618
Tm 5.4780 -0.9978 1.8347
Tm -1.7379 3.1784 4.5502
Tm 2.0033 -0.9980 1.8352
Tm 1.7368 3.1786 4.5497
P -0.0001 -2.1496 3.2046
C 3.7408 -2.1499 3.2043
C 1.8701 1.0903 3.1924
C -1.8708 1.0906 3.1927
Se 0.0000 0.0000 0.0000
Se -1.8707 3.2402 -0.0119
Se 1.8701 3.2399 -0.0122
```

The magnetic moment comes out at 0.000 μB/atom. The value obtained for the uncorrected formation energy is -17.391 eV per formula unit. Its space group is R-3m, No. 166.

A relaxed LiP4 crystal, computed with GGA-PBE.

Structure (extended XYZ):
```
10
Lattice="-2.4033 -4.2315 -0.5050 3.4730 -2.3545 3.2009 -5.0877 2.2800 5.1072" Properties=species:S:1:pos:R:3 pbc="T T T"
Li 0.0000 0.0000 0.0000
Li -3.7455 -0.9757 2.3011
P -1.1939 -1.3374 1.9541
P -0.5930 -4.6593 3.2297
P -2.8241 -2.9686 5.8490
P -3.4250 0.3533 4.5734
P -3.7356 -3.3082 3.8859
P -3.4409 -0.9403 6.3416
P -0.2823 -0.9978 3.9172
P -0.5770 -3.3657 1.4615
```

The distance to the lowest polymorph of the same formula comes out at 0 meV per atom. The energy relative to the elements comes out at -0.1268 eV per atom. The magnetic moment comes out at 0.000 μB/atom. Its space group is P2_1/c, No. 14.

For each record above, in turn, the calculated density values are 8.9; 2.3 Mg/m³.